[1]
Computed, not measured: a PBEsol-optimized structure of Rb2AgCl3 at the SCAN level of DFT.

abc: 9.1080 4.4011 17.6292
angles: 90.00 90.00 90.00
Fractional positions:
1 Rb 0.0796 0.2500 0.2140
2 Rb 0.2434 0.2500 0.9573
3 Rb 0.2566 0.7500 0.4573
4 Rb 0.4204 0.7500 0.7140
5 Rb 0.5796 0.2500 0.2860
6 Rb 0.7434 0.2500 0.5427
7 Rb 0.7566 0.7500 0.0427
8 Rb 0.9204 0.7500 0.7860
9 Ag 0.1253 0.2500 0.6321
10 Ag 0.3747 0.7500 0.1321
11 Ag 0.6253 0.2500 0.8679
12 Ag 0.8747 0.7500 0.3679
13 Cl 0.0020 0.2500 0.4016
14 Cl 0.1207 0.7500 0.0730
15 Cl 0.1829 0.2500 0.7743
16 Cl 0.3171 0.7500 0.2743
17 Cl 0.3793 0.2500 0.5730
18 Cl 0.4980 0.7500 0.9016
19 Cl 0.5020 0.2500 0.0984
20 Cl 0.6207 0.7500 0.4270
21 Cl 0.6829 0.2500 0.7257
22 Cl 0.8171 0.7500 0.2257
23 Cl 0.8793 0.2500 0.9270
24 Cl 0.9980 0.7500 0.5984

Output
For the uncorrected formation energy, the calculation gives -1.65 eV/atom. For the total magnetization, the calculation gives 0.00 μB per cell. Its total energy is -17.78 eV per atom. The value obtained for the density of states at the Fermi level is 0.00 states/eV per atom.



[2]
Computed, not measured: a PBEsol-optimized structure of In2Hg3 at the SCAN level of DFT.

abc: 3.5557 3.5557 33.0112
angles: 90.00 90.00 120.00
Fractional positions:
1 In 0.0000 0.0000 0.0996
2 In 0.0000 0.0000 0.9004
3 In 0.3333 0.6667 0.5671
4 In 0.3333 0.6667 0.7662
5 In 0.6667 0.3333 0.2338
6 In 0.6667 0.3333 0.4329
7 Hg 0.0000 0.0000 0.3006
8 Hg 0.0000 0.0000 0.5000
9 Hg 0.0000 0.0000 0.6994
10 Hg 0.3333 0.6667 0.1667
11 Hg 0.3333 0.6667 0.3661
12 Hg 0.3333 0.6667 0.9672
13 Hg 0.6667 0.3333 0.0328
14 Hg 0.6667 0.3333 0.6339
15 Hg 0.6667 0.3333 0.8333

Output
For the formation enthalpy at 0 K, the calculation gives 4 meV/atom. For the total magnetization, the calculation gives 0.00 μB per cell. The energy above the lowest structure with this stoichiometry comes out at 0 meV per atom. Its total energy is -54.25 eV per atom. The value obtained for the density of states at the Fermi level is 0.35 states/eV per atom.



[3]
Computed, not measured: a PBEsol-optimized structure of CsSn2Hg2 at the SCAN level of DFT.

abc: 4.8339 4.8339 12.8719
angles: 90.00 90.00 90.00
Fractional positions:
1 Cs 0.0000 0.0000 0.0000
2 Cs 0.5000 0.5000 0.5000
3 Sn 0.0000 0.5000 0.2500
4 Sn 0.0000 0.5000 0.7500
5 Sn 0.5000 0.0000 0.2500
6 Sn 0.5000 0.0000 0.7500
7 Hg 0.0000 0.0000 0.3892
8 Hg 0.0000 0.0000 0.6108
9 Hg 0.5000 0.5000 0.1108
10 Hg 0.5000 0.5000 0.8892

Output
For the formation enthalpy at 0 K, the calculation gives -183 meV/atom. For the total magnetization, the calculation gives 0.00 μB per cell. Its total energy is -49.38 eV per atom. The value obtained for the density of states at the Fermi level is 0.44 states/eV per atom.



[4]
Computed, not measured: a PBEsol-optimized structure of CoNiSe2Br at the SCAN level of DFT.

abc: 4.5929 4.5929 4.7911
angles: 90.00 90.00 90.00
Fractional positions:
1 Co 0.0000 0.0000 0.0000
2 Ni 0.5000 0.5000 0.5000
3 Se 0.0000 0.5000 0.5000
4 Se 0.5000 0.0000 0.5000
5 Br 0.5000 0.5000 0.0000

Output
For the uncorrected formation energy, the calculation gives 0.56 eV/atom. For the total magnetization, the calculation gives 3.17 μB per cell. Its total energy is -18.06 eV per atom. The value obtained for the density of states at the Fermi level is 0.99 states/eV per atom.



[5]
Computed, not measured: a PBEsol-optimized structure of V9Sb7O32 at the SCAN level of DFT.

abc: 4.5876 7.6936 15.0593
angles: 77.57 89.83 89.92
Fractional positions:
1 V 0.0000 0.0000 0.0000
2 V 0.0028 0.7470 0.7517
3 V 0.0082 0.1288 0.6301
4 V 0.4993 0.6894 0.9380
5 V 0.5004 0.4368 0.6895
6 V 0.4996 0.5632 0.3105
7 V 0.5007 0.3106 0.0620
8 V 0.9918 0.8712 0.3699
9 V 0.9972 0.2530 0.2483
10 Sb 0.0000 0.5000 0.5000
11 Sb 0.0007 0.3812 0.8778
12 Sb 0.4967 0.9443 0.1874
13 Sb 0.4979 0.1848 0.4319
14 Sb 0.5021 0.8152 0.5681
15 Sb 0.5033 0.0557 0.8126
16 Sb 0.9993 0.6188 0.1222
17 O 0.1887 0.8912 0.6416
18 O 0.1904 0.0169 0.2659
19 O 0.1900 0.1383 0.8888
20 O 0.1930 0.2599 0.5141
21 O 0.1942 0.6402 0.3867
22 O 0.1983 0.5155 0.7629
23 O 0.1984 0.7673 0.0124
24 O 0.2000 0.3823 0.1392
25 O 0.2984 0.3310 0.3236
26 O 0.3009 0.8202 0.8279
27 O 0.3007 0.9457 0.4516
28 O 0.3020 0.0795 0.0736
29 O 0.3042 0.2040 0.7011
30 O 0.3072 0.7014 0.2006
31 O 0.3114 0.4542 0.9537
32 O 0.3128 0.5753 0.5772
33 O 0.6872 0.4247 0.4228
34 O 0.6886 0.5458 0.0463
35 O 0.6928 0.2986 0.7994
36 O 0.6958 0.7960 0.2989
37 O 0.6980 0.9205 0.9264
38 O 0.6993 0.0543 0.5484
39 O 0.6991 0.1798 0.1721
40 O 0.7016 0.6690 0.6764
41 O 0.8000 0.6177 0.8608
42 O 0.8016 0.2327 0.9876
43 O 0.8017 0.4845 0.2371
44 O 0.8058 0.3598 0.6133
45 O 0.8070 0.7401 0.4859
46 O 0.8100 0.8617 0.1112
47 O 0.8096 0.9831 0.7341
48 O 0.8113 0.1088 0.3584

Output
For the uncorrected formation energy, the calculation gives -2.15 eV/atom. For the total magnetization, the calculation gives 16.00 μB per cell. Its total energy is -15.02 eV per atom. The value obtained for the density of states at the Fermi level is 0.33 states/eV per atom.



[6]
Computed, not measured: a PBEsol-optimized structure of Li3Cu2O4 at the SCAN level of DFT.

abc: 5.1300 5.1300 7.1439
angles: 116.74 116.74 31.25
Fractional positions:
1 Li 0.0000 0.0000 0.0000
2 Li 0.3628 0.3628 0.6257
3 Li 0.6372 0.6372 0.3743
4 Cu 0.1608 0.1608 0.7711
5 Cu 0.8392 0.8392 0.2289
6 O 0.2526 0.2526 0.3175
7 O 0.4343 0.4343 0.1553
8 O 0.5657 0.5657 0.8447
9 O 0.7474 0.7474 0.6825

Output
For the uncorrected formation energy, the calculation gives -1.47 eV/atom. For the total magnetization, the calculation gives 1.00 μB per cell. The energy above the lowest structure with this stoichiometry comes out at 0 meV per atom. Its total energy is -8.42 eV per atom. The value obtained for the density of states at the Fermi level is 0.27 states/eV per atom.



[7]
Computed, not measured: a PBEsol-optimized structure of Na5Tm4Si4O16F at the SCAN level of DFT.

abc: 8.4952 8.4952 8.4952
angles: 95.69 95.69 143.28
Fractional positions:
1 Na 0.0000 0.0000 0.0000
2 Na 0.0966 0.5821 0.6944
3 Na 0.4179 0.1123 0.5145
4 Na 0.5978 0.9034 0.4855
5 Na 0.8877 0.4022 0.3056
6 Tm 0.2942 0.3603 0.7043
7 Tm 0.4101 0.7058 0.0661
8 Tm 0.6397 0.3440 0.9339
9 Tm 0.6560 0.5899 0.2957
10 Si 0.1166 0.2585 0.3519
11 Si 0.2353 0.8834 0.1419
12 Si 0.7415 0.0934 0.8581
13 Si 0.9066 0.7647 0.6481
14 O 0.0516 0.2852 0.8645
15 O 0.0972 0.3747 0.5018
16 O 0.1269 0.6832 0.9649
17 O 0.2278 0.0556 0.7631
18 O 0.2925 0.4647 0.2369
19 O 0.3168 0.2817 0.4438
20 O 0.4046 0.9028 0.2775
21 O 0.4207 0.1871 0.1355
22 O 0.5353 0.7722 0.8278
23 O 0.6253 0.1271 0.7225
24 O 0.7148 0.5793 0.7664
25 O 0.7183 0.1621 0.0351
26 O 0.8129 0.9484 0.2336
27 O 0.8379 0.8731 0.5562
28 O 0.8729 0.5954 0.4982
29 O 0.9444 0.7075 0.1722
30 F 0.5000 0.5000 0.0000

Output
For the uncorrected formation energy, the calculation gives -3.25 eV/atom. For the total magnetization, the calculation gives 0.00 μB per cell. Its total energy is -15.64 eV per atom. The value obtained for the density of states at the Fermi level is 0.00 states/eV per atom.



[8]
Computed, not measured: a PBEsol-optimized structure of ZrAsCl2 at the SCAN level of DFT.

abc: 3.1360 3.1360 31.9435
angles: 90.00 90.00 120.00
Fractional positions:
1 Zr 0.0000 0.0000 0.0000
2 Zr 0.3333 0.6667 0.6667
3 Zr 0.6667 0.3333 0.3333
4 As 0.0000 0.0000 0.5000
5 As 0.3333 0.6667 0.1667
6 As 0.6667 0.3333 0.8333
7 Cl 0.0000 0.0000 0.2762
8 Cl 0.0000 0.0000 0.7238
9 Cl 0.3333 0.6667 0.3904
10 Cl 0.3333 0.6667 0.9429
11 Cl 0.6667 0.3333 0.0571
12 Cl 0.6667 0.3333 0.6096

Output
For the uncorrected formation energy, the calculation gives -0.89 eV/atom. For the total magnetization, the calculation gives 0.00 μB per cell. The energy above the lowest structure with this stoichiometry comes out at 0 meV per atom. Its total energy is -17.60 eV per atom. The value obtained for the density of states at the Fermi level is 0.48 states/eV per atom.



[9]
Computed, not measured: a PBEsol-optimized structure of HoGa2Co3 at the SCAN level of DFT.

abc: 5.1120 5.1120 3.7265
angles: 90.00 90.00 120.00
Fractional positions:
1 Ho 0.0000 0.0000 0.0000
2 Ga 0.3333 0.6667 0.0000
3 Ga 0.6667 0.3333 0.0000
4 Co 0.0000 0.5000 0.5000
5 Co 0.5000 0.0000 0.5000
6 Co 0.5000 0.5000 0.5000

Output
For the formation enthalpy at 0 K, the calculation gives -333 meV/atom. For the total magnetization, the calculation gives 2.61 μB per cell. Its total energy is -22.60 eV per atom. The value obtained for the density of states at the Fermi level is 0.55 states/eV per atom.